Crystalline Pr5Tl4I at its relaxed geometry. Source: Alexandria, functional PBE.

The calculation puts the density of states at the Fermi level at 1.030 states/eV/atom. Its formation energy without anion corrections is -0.47 eV/atom. Its magnetization is 0.000 Bohr magnetons per cell.

The space group is P4/mmm (No. 123) and the conventional cell measures 3.747, 3.747 and 21.867 Å, with angles of 90.00, 90.00 and 90.00 degrees. The inequivalent atoms are Pr at (0.000, 0.000, 0.000), Pr at (0.000, 0.000, 0.198), Pr at (0.000, 0.000, 0.392), Tl at (0.500, 0.500, 0.099), Tl at (0.500, 0.500, 0.299) and I at (0.500, 0.500, 0.500).


Crystalline Rb3HgRh at its relaxed geometry. Source: Alexandria, functional PBE.

The calculated formation energy comes out at 192 kJ/mol of formula units. The calculation puts the density of states at the Fermi level at 0.536 states/eV/atom. Its magnetization is 0.000 Bohr magnetons per cell. The polymorph energy (0 for the lowest one) is 0 meV/atom.

The space group is Pm-3m (No. 221) and the conventional cell measures 6.233, 6.233 and 6.233 Å, with angles of 90.00, 90.00 and 90.00 degrees. The inequivalent atoms are Rb at (0.000, 0.000, 0.500), Hg at (0.500, 0.500, 0.500) and Rh at (0.000, 0.000, 0.000).


Crystalline DyPuGe4 at its relaxed geometry. Source: Alexandria, functional PBE.

The calculated formation energy comes out at -183 kJ/mol of formula units. The calculation puts the density of states at the Fermi level at 0.736 states/eV/atom. Its magnetization is 27.404 Bohr magnetons per cell.

The space group is F-43m (No. 216) and the conventional cell measures 7.897, 7.897 and 7.897 Å, with angles of 90.00, 90.00 and 90.00 degrees. The inequivalent atoms are Dy at (0.000, 0.000, 0.000), Pu at (0.250, 0.250, 0.250) and Ge at (0.125, 0.125, 0.625).


Crystalline Hf8AsPb2 at its relaxed geometry. Source: Alexandria, functional PBE.

The calculated formation energy comes out at -177 kJ/mol of formula units. The calculation puts the density of states at the Fermi level at 0.818 states/eV/atom. Its magnetization is 0.000 Bohr magnetons per cell.

The space group is C2/m (No. 12) and the conventional cell measures 16.735, 3.711 and 8.054 Å, with angles of 90.00, 93.21 and 90.00 degrees. The inequivalent atoms are Hf at (0.021, 0.000, 0.239), Hf at (0.087, 0.500, 0.514), Hf at (0.161, 0.500, 0.054), Hf at (0.203, 0.000, 0.360), As at (0.000, 0.500, 0.000) and Pb at (0.171, 0.000, 0.763).


Crystalline MnOsRh2 at its relaxed geometry. Source: Alexandria, functional PBE.

The calculated formation energy comes out at 9 kJ/mol of formula units. The calculation puts the density of states at the Fermi level at 1.215 states/eV/atom. Its magnetization is 2.112 Bohr magnetons per cell. The polymorph energy (0 for the lowest one) is 44 meV/atom.

The space group is Pmm2 (No. 25) and the conventional cell measures 2.700, 3.767 and 5.401 Å, with angles of 90.00, 90.00 and 90.00 degrees. The inequivalent atoms are Mn at (0.000, 0.000, 0.000), Os at (0.500, 0.500, 0.241), Rh at (0.000, 0.000, 0.488) and Rh at (0.500, 0.500, 0.757).


Crystalline NbAl2CS at its relaxed geometry. Source: Alexandria, functional PBE.

The calculation puts the density of states at the Fermi level at 0.662 states/eV/atom. Its formation energy without anion corrections is 1.62 eV/atom. Its magnetization is 1.372 Bohr magnetons per cell.

The space group is P4/mmm (No. 123) and the conventional cell measures 5.232, 5.232 and 4.599 Å, with angles of 90.00, 90.00 and 90.00 degrees. The inequivalent atoms are Nb at (0.000, 0.000, 0.000), Al at (0.000, 0.500, 0.000), C at (0.500, 0.500, 0.500) and S at (0.000, 0.000, 0.500).


Crystalline InNiAs2 at its relaxed geometry. Source: Alexandria, functional PBE.

The calculated formation energy comes out at 122 kJ/mol of formula units. The calculation puts the density of states at the Fermi level at 0.615 states/eV/atom. Its magnetization is 0.000 Bohr magnetons per cell.

The space group is I-4m2 (No. 119) and the conventional cell measures 4.247, 4.247 and 8.095 Å, with angles of 90.00, 90.00 and 90.00 degrees. The inequivalent atoms are In at (0.000, 0.000, 0.000), Ni at (0.000, 0.500, 0.750), As at (0.000, 0.000, 0.500) and As at (0.000, 0.500, 0.250).


Crystalline Sr4AlCo at its relaxed geometry. Source: Alexandria, functional PBE.

The calculated formation energy comes out at 566 kJ/mol of formula units. The calculation puts the density of states at the Fermi level at 1.811 states/eV/atom. Its magnetization is 4.197 Bohr magnetons per cell.

The space group is F-43m (No. 216) and the conventional cell measures 9.718, 9.718 and 9.718 Å, with angles of 90.00, 90.00 and 90.00 degrees. The inequivalent atoms are Sr at (0.125, 0.125, 0.125), Al at (0.250, 0.250, 0.750) and Co at (0.000, 0.000, 0.500).


Crystalline Ac2MgAl3Hg4 at its relaxed geometry. Source: Alexandria, functional PBE.

The calculated formation energy comes out at -369 kJ/mol of formula units. The calculation puts the density of states at the Fermi level at 0.357 states/eV/atom. Its magnetization is 0.000 Bohr magnetons per cell.

The space group is P-4m2 (No. 115) and the conventional cell measures 4.672, 4.672 and 11.332 Å, with angles of 90.00, 90.00 and 90.00 degrees. The inequivalent atoms are Ac at (0.000, 0.500, 0.240), Mg at (0.000, 0.000, 0.500), Al at (0.000, 0.500, 0.869), Al at (0.500, 0.500, 0.500), Hg at (0.000, 0.000, 0.000), Hg at (0.000, 0.500, 0.636) and Hg at (0.500, 0.500, 0.000).


Crystalline Ba2SrTlP at its relaxed geometry. Source: Alexandria, functional PBE.

The calculated formation energy comes out at -259 kJ/mol of formula units. The calculation puts the density of states at the Fermi level at 1.014 states/eV/atom. Its magnetization is 1.341 Bohr magnetons per cell.

The space group is P4/mmm (No. 123) and the conventional cell measures 6.265, 6.265 and 5.837 Å, with angles of 90.00, 90.00 and 90.00 degrees. The inequivalent atoms are Ba at (0.000, 0.500, 0.000), Sr at (0.000, 0.000, 0.500), Tl at (0.500, 0.500, 0.500) and P at (0.000, 0.000, 0.000).


Crystalline NaTm5S6 at its relaxed geometry. Source: Alexandria, functional PBE.

The calculation puts the density of states at the Fermi level at 0.342 states/eV/atom. Its formation energy without anion corrections is -1.90 eV/atom. Its magnetization is 0.000 Bohr magnetons per cell.

The space group is C2/m (No. 12) and the conventional cell measures 6.680, 11.554 and 6.702 Å, with angles of 90.00, 109.41 and 90.00 degrees. The inequivalent atoms are Na at (0.000, 0.000, 0.000), Tm at (0.000, 0.163, 0.500), Tm at (0.000, 0.335, 0.000), Tm at (0.000, 0.500, 0.500), S at (0.248, 0.332, 0.746) and S at (0.248, 0.500, 0.247).


Crystalline GeAs2AuBr at its relaxed geometry. Source: Alexandria, functional PBE.

The calculation puts the density of states at the Fermi level at 0.894 states/eV/atom. Its formation energy without anion corrections is 0.78 eV/atom. Its magnetization is 0.628 Bohr magnetons per cell.

The space group is P4/mmm (No. 123) and the conventional cell measures 5.029, 5.029 and 5.081 Å, with angles of 90.00, 90.00 and 90.00 degrees. The inequivalent atoms are Ge at (0.000, 0.000, 0.000), As at (0.000, 0.500, 0.000), Au at (0.500, 0.500, 0.500) and Br at (0.000, 0.000, 0.500).


Crystalline Nb5C4 at its relaxed geometry. Source: Alexandria, functional PBE.

The calculated formation energy comes out at 611 kJ/mol of formula units. The calculation puts the density of states at the Fermi level at 0.518 states/eV/atom. Its magnetization is 0.000 Bohr magnetons per cell.

The space group is I4/mmm (No. 139) and the conventional cell measures 8.681, 8.681 and 3.035 Å, with angles of 90.00, 90.00 and 90.00 degrees. The inequivalent atoms are Nb at (0.000, 0.000, 0.000), Nb at (0.000, 0.293, 0.000) and C at (0.158, 0.158, 0.500).


Crystalline TaRe3S at its relaxed geometry. Source: Alexandria, functional PBE.

The calculation puts the density of states at the Fermi level at 0.855 states/eV/atom. Its formation energy without anion corrections is 0.74 eV/atom. Its magnetization is 0.000 Bohr magnetons per cell. The polymorph energy (0 for the lowest one) is 0 meV/atom.

The space group is Pm-3m (No. 221) and the conventional cell measures 4.345, 4.345 and 4.345 Å, with angles of 90.00, 90.00 and 90.00 degrees. The inequivalent atoms are Ta at (0.000, 0.000, 0.000), Re at (0.000, 0.500, 0.500) and S at (0.500, 0.500, 0.500).


Crystalline HfMg2NiBr at its relaxed geometry. Source: Alexandria, functional PBE.

The calculation puts the density of states at the Fermi level at 1.160 states/eV/atom. Its formation energy without anion corrections is 0.63 eV/atom. Its magnetization is 0.560 Bohr magnetons per cell.

The space group is P4/mmm (No. 123) and the conventional cell measures 4.813, 4.813 and 4.814 Å, with angles of 90.00, 90.00 and 90.00 degrees. The inequivalent atoms are Hf at (0.000, 0.000, 0.000), Mg at (0.000, 0.500, 0.500), Ni at (0.500, 0.500, 0.500) and Br at (0.500, 0.500, 0.000).


Crystalline Mg7Cd4In at its relaxed geometry. Source: Alexandria, functional PBE.

The calculated formation energy comes out at 55 kJ/mol of formula units. The calculation puts the density of states at the Fermi level at 0.355 states/eV/atom. Its magnetization is 0.000 Bohr magnetons per cell.

The space group is C2/m (No. 12) and the conventional cell measures 13.607, 5.271 and 10.332 Å, with angles of 90.00, 127.08 and 90.00 degrees. The inequivalent atoms are Mg at (0.000, 0.000, 0.000), Mg at (0.065, 0.500, 0.348), Mg at (0.161, 0.000, 0.600), Mg at (0.218, 0.500, 0.868), Cd at (0.069, 0.000, 0.781), Cd at (0.200, 0.000, 0.343) and In at (0.000, 0.500, 0.000).


Crystalline B2PPd11 at its relaxed geometry. Source: Alexandria, functional PBE.

The calculated formation energy comes out at -65 kJ/mol of formula units. The calculation puts the density of states at the Fermi level at 0.561 states/eV/atom. Its magnetization is 0.000 Bohr magnetons per cell.

The space group is Ibam (No. 72) and the conventional cell measures 8.458, 10.110 and 10.628 Å, with angles of 90.00, 90.00 and 90.00 degrees. The inequivalent atoms are B at (0.139, 0.181, 0.000), P at (0.000, 0.500, 0.250), Pd at (0.000, 0.000, 0.000), Pd at (0.123, 0.237, 0.500), Pd at (0.123, 0.286, 0.169) and Pd at (0.228, 0.459, 0.371).


Crystalline Pr2Nd2Cd3 at its relaxed geometry. Source: Alexandria, functional PBE.

The calculated formation energy comes out at -111 kJ/mol of formula units. The calculation puts the density of states at the Fermi level at 1.477 states/eV/atom. Its magnetization is 0.954 Bohr magnetons per cell.

The space group is P-1 (No. 2) and the conventional cell measures 5.399, 5.409 and 9.207 Å, with angles of 73.30, 73.05 and 60.11 degrees. The inequivalent atoms are Pr at (0.130, 0.128, 0.112), Nd at (0.382, 0.381, 0.355), Cd at (0.000, 0.000, 0.500) and Cd at (0.255, 0.256, 0.734).


Crystalline Tb3Hg3Rh2 at its relaxed geometry. Source: Alexandria, functional PBE.

The calculated formation energy comes out at -490 kJ/mol of formula units. The calculation puts the density of states at the Fermi level at 1.006 states/eV/atom. Its magnetization is 0.000 Bohr magnetons per cell.

The space group is P-62m (No. 189) and the conventional cell measures 7.6291, 7.6291 and 3.6203 Å, with angles of 90.00, 90.00 and 120.00 degrees. The inequivalent atoms are Tb at (0.0000, 0.4202, 0.0000), Hg at (0.0000, 0.7643, 0.5000) and Rh at (0.3333, 0.6667, 0.5000).


Crystalline IrBr6O2 at its relaxed geometry. Source: Alexandria, functional PBE.

The calculation puts the density of states at the Fermi level at 1.925 states/eV/atom. Its formation energy without anion corrections is 0.65 eV/atom. Its magnetization is 22.851 Bohr magnetons per cell.

The space group is Fm-3m (No. 225) and the conventional cell measures 9.866, 9.866 and 9.866 Å, with angles of 90.00, 90.00 and 90.00 degrees. The inequivalent atoms are Ir at (0.000, 0.000, 0.000), Br at (0.000, 0.000, 0.249) and O at (0.250, 0.250, 0.250).


Mass density? In order: 8.9, 3.8, 9.4, 12.8, 13.6, 2.5, 7.4, 3.2, 9.1, 4.3, 7.2, 6.5, 7.4, 15.6, 5.4, 4.1, 8.9, 6.9, 11.7, 4.9 g cm⁻³.